No. 1
Computed, not measured: YNbSi2 at its PBEsol-relaxed geometry at the meta-GGA SCAN level of DFT.

D(E_F) = 3.05 states/eV per cell
Size of the total moment = 1.748 μB per formula unit
Symmetry = Fm-3m, No. 225
Energy relative to the elements, uncorrected = -0.6 eV/f.u.
Density = 5.54 g cm⁻³

Cell and atoms, written as extended XYZ:
```
4
Lattice="0.0000 3.2910 3.2910 3.2910 0.0000 3.2910 3.2910 3.2910 0.0000" Properties=species:S:1:pos:R:3 pbc="T T T"
Y 0.0000 0.0000 0.0000
Nb 3.2910 3.2910 3.2910
Si 1.6455 1.6455 1.6455
Si 4.9365 4.9365 4.9365
```


No. 2
Computed, not measured: K2IrRh at its PBEsol-relaxed geometry at the meta-GGA SCAN level of DFT.

D(E_F) = 2.54 states/eV per cell
Size of the total moment = 1.566 μB per formula unit
Symmetry = Cmmm, No. 65
Density = 7.94 g cm⁻³
Distance to the lowest polymorph of the same formula = 452 meV/atom
DFT formation energy = 0.827 eV/atom

Cell and atoms, written as extended XYZ:
```
4
Lattice="2.7480 -5.2912 0.0000 2.7480 5.2912 0.0000 0.0000 0.0000 2.6838" Properties=species:S:1:pos:R:3 pbc="T T T"
K 1.3740 2.6456 0.0000
K 1.3740 -2.6456 0.0000
Ir 0.0000 0.0000 1.3419
Rh 2.7480 0.0000 1.3419
```


No. 3
Computed, not measured: AlPPt at its PBEsol-relaxed geometry at the meta-GGA SCAN level of DFT.

D(E_F) = 1.12 states/eV per cell
Size of the total moment = 0.000 μB per formula unit
Symmetry = I4mm, No. 107
Density = 9.41 g cm⁻³
DFT formation energy = -0.305 eV/atom

Cell and atoms, written as extended XYZ:
```
3
Lattice="-1.7314 1.7314 3.7250 1.7314 -1.7314 3.7250 1.7314 1.7314 -3.7250" Properties=species:S:1:pos:R:3 pbc="T T T"
Al 0.0000 0.0000 0.0000
P 0.0000 0.0000 2.4730
Pt 0.0000 0.0000 4.8578
```


No. 4
Computed, not measured: Be4ReMo at its PBEsol-relaxed geometry at the meta-GGA SCAN level of DFT.

D(E_F) = 0.85 states/eV per cell
Size of the total moment = 0.008 μB per formula unit
Symmetry = F-43m, No. 216
Density = 8.91 g cm⁻³
DFT formation energy = -0.413 eV/atom

Cell and atoms, written as extended XYZ:
```
6
Lattice="0.0000 3.0955 3.0955 3.0955 0.0000 3.0955 3.0955 3.0955 0.0000" Properties=species:S:1:pos:R:3 pbc="T T T"
Be 0.7734 0.7734 0.7734
Be 2.3221 2.3221 0.7734
Be 2.3221 0.7734 2.3221
Be 0.7734 2.3221 2.3221
Re 4.6433 4.6433 4.6433
Mo 3.0955 3.0955 3.0955
```


No. 5
Computed, not measured: Sr2P3Pb3O13 at its PBEsol-relaxed geometry at the meta-GGA SCAN level of DFT.

D(E_F) = 7.86 states/eV per cell
Size of the total moment = 1.027 μB per formula unit
Symmetry = P6_3/m, No. 176
Energy relative to the elements, uncorrected = -50.9 eV/f.u.
Density = 6.09 g cm⁻³

Cell and atoms, written as extended XYZ:
```
42
Lattice="9.7297 0.0000 0.0000 -4.8649 8.4262 0.0000 0.0000 0.0000 7.3025" Properties=species:S:1:pos:R:3 pbc="T T T"
Sr 0.0000 5.6175 0.0226
Sr 0.0000 5.6175 3.6286
Sr 4.8649 2.8087 3.6738
Sr 4.8649 2.8087 7.2799
P -2.7334 5.2878 5.4768
P 1.6522 3.4151 5.4768
P 3.7836 0.2767 1.8256
P 1.0812 8.1495 5.4768
P 3.2127 5.0111 1.8256
P 7.5983 3.1384 1.8256
Pb 8.5804 1.9877 5.4768
Pb -3.7155 6.4385 1.8256
Pb 2.2961 0.0015 5.4768
Pb 1.1467 1.9892 1.8256
Pb 2.5688 8.4247 1.8256
Pb 3.7182 6.4370 5.4768
O 0.0000 0.0000 1.8256
O 0.0000 0.0000 5.4768
O -2.7275 6.2250 4.2268
O -2.7275 6.2250 6.7269
O -1.3872 4.5060 5.4768
O -0.9344 4.1012 1.8256
O 0.8376 2.9517 4.2268
O 0.8376 2.9517 6.7269
O -0.8459 7.1848 1.8256
O 2.9750 0.7504 0.5756
O 2.9750 0.7504 3.0756
O -0.2690 7.3746 5.4768
O 1.6562 4.9718 5.4768
O 3.0846 2.8598 5.4768
O 1.7803 5.5664 1.8256
O 3.2087 3.4544 1.8256
O 5.1338 1.0516 1.8256
O 1.8898 7.6758 4.2268
O 1.8898 7.6758 6.7269
O 5.7108 1.2414 5.4768
O 4.0272 5.4745 0.5756
O 4.0272 5.4745 3.0756
O 5.7993 4.3250 5.4768
O 6.2521 3.9202 1.8256
O 7.5923 2.2013 0.5756
O 7.5923 2.2013 3.0756
```


No. 6
Computed, not measured: Hf2ZrTcPb at its PBEsol-relaxed geometry at the meta-GGA SCAN level of DFT.

D(E_F) = 5.30 states/eV per cell
Size of the total moment = 0.000 μB per formula unit
Symmetry = P4/mmm, No. 123
Density = 10.31 g cm⁻³
DFT formation energy = 0.525 eV/atom

Cell and atoms, written as extended XYZ:
```
5
Lattice="4.8553 0.0000 0.0000 0.0000 4.8553 0.0000 0.0000 0.0000 5.1456" Properties=species:S:1:pos:R:3 pbc="T T T"
Hf 0.0000 2.4277 0.0000
Hf 2.4277 0.0000 0.0000
Zr 0.0000 0.0000 2.5728
Tc 2.4277 2.4277 0.0000
Pb 2.4277 2.4277 2.5728
```


No. 7
Computed, not measured: BeAl2Pt2 at its PBEsol-relaxed geometry at the meta-GGA SCAN level of DFT.

D(E_F) = 2.01 states/eV per cell
Size of the total moment = 0.000 μB per formula unit
Symmetry = P4/mbm, No. 127
Density = 10.32 g cm⁻³
Distance to the lowest polymorph of the same formula = 157 meV/atom
DFT formation energy = -0.713 eV/atom

Cell and atoms, written as extended XYZ:
```
10
Lattice="7.2619 0.0000 0.0000 0.0000 7.2619 0.0000 0.0000 0.0000 2.7643" Properties=species:S:1:pos:R:3 pbc="T T T"
Be 0.0000 0.0000 0.0000
Be 3.6309 3.6309 0.0000
Al 1.0161 2.6148 0.0000
Al 2.6148 6.2457 0.0000
Al 4.6471 1.0161 0.0000
Al 6.2457 4.6471 0.0000
Pt 1.1462 4.7772 1.3822
Pt 2.4847 1.1462 1.3822
Pt 4.7772 6.1156 1.3822
Pt 6.1156 2.4847 1.3822
```


No. 8
Computed, not measured: Ba2SrCd at its PBEsol-relaxed geometry at the meta-GGA SCAN level of DFT.

D(E_F) = 4.62 states/eV per cell
Size of the total moment = 0.047 μB per formula unit
Symmetry = Imm2, No. 44
Density = 4.38 g cm⁻³
DFT formation energy = -0.157 eV/atom

Cell and atoms, written as extended XYZ:
```
4
Lattice="-2.1231 3.1602 6.6978 2.1231 -3.1602 6.6978 2.1231 3.1602 -6.6978" Properties=species:S:1:pos:R:3 pbc="T T T"
Ba 0.0000 0.0000 0.0000
Ba 0.0000 3.1602 2.6522
Sr 0.0000 0.0000 5.3501
Cd 2.1231 0.0000 2.7377
```